Record 1
ScV3O9: optimized geometry, GGA+U.

As for the crystal system: monoclinic. The value obtained for the density of states at the Fermi level is 0.000 states/eV/f.u.

The structure in CIF format:
```
data_ScV3O9
_chemical_formula_sum 'Sc2 V6 O18'
_cell_length_a 7.256
_cell_length_b 8.215
_cell_length_c 9.309
_cell_angle_alpha 73.56
_cell_angle_beta 67.06
_cell_angle_gamma 63.79
_space_group_name_H-M_alt 'P 1'
_space_group_IT_number 1
loop_
_space_group_symop_operation_xyz
'x,y,z'
loop_
_atom_site_label
_atom_site_fract_x
_atom_site_fract_y
_atom_site_fract_z
O1 0.256 0.943 0.186
V1 0.783 0.559 0.671
O2 0.703 0.701 0.094
O3 0.003 0.503 0.494
V2 0.222 0.443 0.318
O4 0.303 0.300 0.894
V3 0.987 0.059 0.171
O5 0.095 0.713 0.837
O6 0.912 0.288 0.152
O7 0.647 0.788 0.652
O8 0.616 0.443 0.686
V4 0.017 0.943 0.818
O9 0.354 0.213 0.337
V5 0.470 0.750 0.244
Sc1 0.003 0.501 0.995
V6 0.536 0.250 0.744
O10 0.876 0.488 0.828
Sc2 0.502 0.001 0.495
O11 0.502 0.800 0.394
O12 0.394 0.555 0.303
O13 0.000 0.003 0.994
O14 0.130 0.514 0.161
O15 0.501 0.201 0.594
O16 0.808 0.988 0.328
O17 0.195 0.014 0.661
O18 0.748 0.055 0.803
```

=====

Record 2
Sc2VO: optimized geometry, GGA+U.

As for the crystal system: tetragonal. The value obtained for the density of states at the Fermi level is 3.302 states/eV/f.u.

The structure in CIF format:
```
data_Sc2VO
_chemical_formula_sum 'Sc4 V2 O2'
_cell_length_a 6.156
_cell_length_b 6.156
_cell_length_c 6.084
_cell_angle_alpha 59.60
_cell_angle_beta 59.60
_cell_angle_gamma 90.00
_space_group_name_H-M_alt 'P 1'
_space_group_IT_number 1
loop_
_space_group_symop_operation_xyz
'x,y,z'
loop_
_atom_site_label
_atom_site_fract_x
_atom_site_fract_y
_atom_site_fract_z
Sc1 0.375 0.496 0.750
Sc2 0.875 0.754 0.750
Sc3 0.246 0.625 0.250
V1 0.750 0.250 0.500
V2 0.000 0.000 0.000
O1 0.500 0.500 0.000
O2 0.250 0.750 0.500
Sc4 0.504 0.125 0.250
```

=====

Record 3
Sc3VO: optimized geometry, GGA+U.

As for the crystal system: cubic. The value obtained for the density of states at the Fermi level is 4.983 states/eV/f.u.

The structure in CIF format:
```
data_Sc3VO
_chemical_formula_sum 'Sc3 V1 O1'
_cell_length_a 4.458
_cell_length_b 4.458
_cell_length_c 4.458
_cell_angle_alpha 90.00
_cell_angle_beta 90.00
_cell_angle_gamma 90.00
_space_group_name_H-M_alt 'P 1'
_space_group_IT_number 1
loop_
_space_group_symop_operation_xyz
'x,y,z'
loop_
_atom_site_label
_atom_site_fract_x
_atom_site_fract_y
_atom_site_fract_z
O1 0.000 0.000 0.000
Sc1 0.000 0.000 0.500
V1 0.500 0.500 0.500
Sc2 0.500 0.000 0.000
Sc3 0.000 0.500 0.000
```

=====

In order of appearance, E = -7.83, -7.12, -7.20 eV per atom.